A geometry-optimized Sr2YRh structure. Source: Alexandria, functional PBE-GGA.

CIF file:
```
data_Sr2YRh
_symmetry_space_group_name_H-M 'P 1'
_symmetry_Int_Tables_number 1
_cell_length_a 11.015
_cell_length_b 11.015
_cell_length_c 11.015
_cell_angle_alpha 19.97
_cell_angle_beta 19.97
_cell_angle_gamma 19.97
loop_
_symmetry_equiv_pos_as_xyz
'x,y,z'
loop_
_atom_site_label
_atom_site_fract_x
_atom_site_fract_y
_atom_site_fract_z
Sr1 0.228 0.228 0.228
Sr2 0.772 0.772 0.772
Y1 0.000 0.000 0.000
Rh1 0.500 0.500 0.500
```

Summary:
As for the space group: No. 166. For the volume, the calculation gives 34.094 Å³/atom. The total energy comes out at -16.53 eV/f.u. Its formation enthalpy at 0 K is 0.162 eV/atom. As for the relative energy among the computed polymorphs: 1.813 eV/f.u.